(1)
Below is a relaxed MgH2Ir2 crystal, with properties calculated at the PBE level.

## Properties
Relative energy among the computed polymorphs = 0.024 eV per atom
Calculated total energy = -52.91 eV/cell
ρ = 12.9 g/cm³
Spin magnetization = 0.000 μB/atom
Fermi-level density of states = 1.89 states/eV/f.u.

a = 4.1303 Å, b = 4.9457 Å, c = 5.9268 Å
α = 74.75°, β = 89.00°, γ = 65.91°
Sites, in units of the cell vectors:
Mg: 0.1133 0.1929 0.3096
Mg: 0.8867 0.8071 0.6904
H: 0.2453 0.5546 0.2455
H: 0.4001 0.1825 0.6089
H: 0.5999 0.8175 0.3911
H: 0.7547 0.4454 0.7545
Ir: 0.1836 0.1394 0.8636
Ir: 0.5000 0.5000 0.0000
Ir: 0.5000 0.5000 0.5000
Ir: 0.8164 0.8606 0.1364

=====

(2)
Below is a relaxed Mg2H8Ir crystal, with properties calculated at the PBE level.

## Properties
Relative energy among the computed polymorphs = 0.080 eV per atom
Calculated total energy = -38.77 eV/cell
ρ = 4.9 g/cm³
Spin magnetization = 0.000 μB/atom
Fermi-level density of states = 0.55 states/eV/f.u.

a = 6.7930 Å, b = 6.7930 Å, c = 4.1370 Å
α = 105.52°, β = 105.52°, γ = 27.49°
Sites, in units of the cell vectors:
Mg: 0.1638 0.1638 0.1413
Mg: 0.8362 0.8362 0.8587
H: 0.0045 0.0045 0.7110
H: 0.2425 0.2425 0.7464
H: 0.3861 0.3861 0.1927
H: 0.4078 0.4078 0.7071
H: 0.5922 0.5922 0.2929
H: 0.6139 0.6139 0.8073
H: 0.7575 0.7575 0.2536
H: 0.9955 0.9955 0.2890
Ir: 0.5000 0.5000 0.5000

=====

(3)
Below is a relaxed MgH2Ir6 crystal, with properties calculated at the PBE level.

## Properties
Relative energy among the computed polymorphs = 0.000 eV per atom
Calculated total energy = -61.59 eV/cell
ρ = 16.9 g/cm³
Spin magnetization = 0.000 μB/atom
Fermi-level density of states = 4.51 states/eV/f.u.

a = 5.2083 Å, b = 5.2419 Å, c = 5.4462 Å
α = 104.83°, β = 105.34°, γ = 116.39°
Sites, in units of the cell vectors:
Mg: 0.0000 0.0000 0.0000
H: 0.1706 0.8670 0.4839
H: 0.2385 0.2918 0.6201
Ir: 0.4402 0.9347 0.8379
Ir: 0.4640 0.9403 0.3365
Ir: 0.4840 0.4875 0.9871
Ir: 0.4870 0.4923 0.4812
Ir: 0.9202 0.4413 0.3303
Ir: 0.9259 0.4410 0.8326

=====

(4)
Below is a relaxed MgH3Ir crystal, with properties calculated at the PBE level.

## Properties
Calculated total energy = -85.50 eV/cell
ρ = 7.1 g/cm³
Spin magnetization = 0.000 μB/atom
Fermi-level density of states = 0.00 states/eV/f.u.

a = 5.1712 Å, b = 4.7804 Å, c = 9.4446 Å
α = 90.00°, β = 117.64°, γ = 90.00°
Sites, in units of the cell vectors:
Mg: 0.0123 0.2330 0.1186
Mg: 0.0123 0.2670 0.6186
Mg: 0.9877 0.7330 0.3814
Mg: 0.9877 0.7670 0.8814
H: 0.0200 0.1558 0.3390
H: 0.0200 0.3442 0.8390
H: 0.3539 0.5077 0.0770
H: 0.3539 0.9923 0.5770
H: 0.3924 0.5485 0.3565
H: 0.3924 0.9515 0.8565
H: 0.6076 0.0485 0.1435
H: 0.6076 0.4515 0.6435
H: 0.6461 0.0077 0.4230
H: 0.6461 0.4923 0.9230
H: 0.9800 0.6558 0.1610
H: 0.9800 0.8442 0.6610
Ir: 0.3406 0.2311 0.9673
Ir: 0.3406 0.2689 0.4673
Ir: 0.6594 0.7311 0.5327
Ir: 0.6594 0.7689 0.0327

=====

(5)
Below is a relaxed Mg5HIr crystal, with properties calculated at the PBE level.

## Properties
Relative energy among the computed polymorphs = 0.020 eV per atom
Calculated total energy = -21.37 eV/cell
ρ = 4.5 g/cm³
Spin magnetization = 0.000 μB/atom
Fermi-level density of states = 1.62 states/eV/f.u.

a = 5.3343 Å, b = 5.3343 Å, c = 5.3769 Å
α = 116.82°, β = 116.82°, γ = 65.13°
Sites, in units of the cell vectors:
Mg: 0.0000 0.0000 0.0000
Mg: 0.1312 0.5012 0.5370
Mg: 0.4193 0.2516 0.0630
Mg: 0.4988 0.8688 0.4630
Mg: 0.7484 0.5807 0.9370
H: 0.3855 0.6145 0.0000
Ir: 0.9306 0.0694 0.5000

=====

(6)
Below is a relaxed Mg3HIr crystal, with properties calculated at the PBE level.

## Properties
Relative energy among the computed polymorphs = 0.039 eV per atom
Calculated total energy = -36.81 eV/cell
ρ = 5.5 g/cm³
Spin magnetization = 0.000 μB/atom
Fermi-level density of states = 1.75 states/eV/f.u.

a = 4.6637 Å, b = 5.3962 Å, c = 7.3015 Å
α = 110.80°, β = 108.53°, γ = 90.05°
Sites, in units of the cell vectors:
Mg: 0.0000 0.0000 0.0000
Mg: 0.0765 0.5876 0.1544
Mg: 0.2521 0.6523 0.6087
Mg: 0.3790 0.3068 0.8430
Mg: 0.6130 0.2803 0.3119
Mg: 0.7209 0.9339 0.5455
H: 0.6461 0.6754 0.8898
H: 0.8338 0.9129 0.2641
Ir: 0.1619 0.0975 0.4247
Ir: 0.8143 0.4896 0.7299

=====

(7)
Below is a relaxed MgH3Ir2 crystal, with properties calculated at the PBE level.

## Properties
Relative energy among the computed polymorphs = 0.021 eV per atom
Calculated total energy = -29.70 eV/cell
ρ = 11.0 g/cm³
Spin magnetization = 0.000 μB/atom
Fermi-level density of states = 1.16 states/eV/f.u.

a = 2.8578 Å, b = 4.7185 Å, c = 5.3185 Å
α = 65.60°, β = 74.43°, γ = 89.89°
Sites, in units of the cell vectors:
Mg: 0.0000 0.0000 0.0000
H: 0.1743 0.7831 0.6511
H: 0.3869 0.3080 0.2289
H: 0.7576 0.2962 0.4888
Ir: 0.2850 0.5311 0.4324
Ir: 0.5686 0.5534 0.8641

=====

(8)
Below is a relaxed Mg3HIr3 crystal, with properties calculated at the PBE level.

## Properties
Relative energy among the computed polymorphs = 0.000 eV per atom
Calculated total energy = -36.76 eV/cell
ρ = 11.4 g/cm³
Spin magnetization = 0.000 μB/atom
Fermi-level density of states = 3.34 states/eV/f.u.

a = 4.4790 Å, b = 4.4790 Å, c = 5.4614 Å
α = 90.59°, β = 90.59°, γ = 59.57°
Sites, in units of the cell vectors:
Mg: 0.0000 0.0000 0.0000
Mg: 0.3369 0.3369 0.6678
Mg: 0.6631 0.6631 0.3322
H: 0.5000 0.5000 0.0000
Ir: 0.0000 0.0000 0.5000
Ir: 0.3192 0.3192 0.1794
Ir: 0.6808 0.6808 0.8206